Entry 1:
VASP calculation (PBE) on an optimized crystal structure of Ca2Cu2W.

Lattice parameters (Å, degrees): 6.619 6.619 4.699 90.00 90.00 90.00
Fractional coordinates of all 10 atoms:
Ca 0.819 0.319 0.500
Ca 0.681 0.819 0.500
Ca 0.181 0.681 0.500
Ca 0.319 0.181 0.500
Cu 0.868 0.632 0.000
Cu 0.132 0.368 0.000
Cu 0.632 0.132 0.000
Cu 0.368 0.868 0.000
W 0.000 0.000 0.000
W 0.500 0.500 0.000

- formation energy from the elements (eV per atom) = 0.472

=====

Entry 2:
VASP calculation (PBE) on an optimized crystal structure of BaSiPt2.

Lattice parameters (Å, degrees): 4.950 4.950 4.950 60.00 60.00 60.00
Fractional coordinates of all 4 atoms:
Si 0.750 0.750 0.750
Ba 0.500 0.500 0.500
Pt 0.250 0.250 0.250
Pt 0.000 0.000 0.000

- formation energy (no corrections) (meV per atom) = 171

=====

Entry 3:
VASP calculation (PBE) on an optimized crystal structure of CoCuHgOsRu.

Lattice parameters (Å, degrees): 5.371 3.602 8.196 90.00 97.86 90.00
Fractional coordinates of all 10 atoms:
Ru 0.202 0.500 0.851
Ru 0.202 0.000 0.351
Hg 0.786 0.000 0.722
Hg 0.786 0.500 0.222
Cu 0.988 0.500 0.535
Cu 0.988 0.000 0.035
Co 0.301 0.000 0.656
Co 0.301 0.500 0.156
Os 0.470 0.500 0.476
Os 0.470 0.000 0.976

- formation energy from the elements (eV per atom) = 0.614

=====

Entry 4:
VASP calculation (PBE) on an optimized crystal structure of Dy4CoPd3.

Lattice parameters (Å, degrees): 3.434 3.434 14.073 90.00 90.00 90.00
Fractional coordinates of all 8 atoms:
Co 0.500 0.500 0.000
Pd 0.500 0.500 0.755
Pd 0.500 0.500 0.500
Pd 0.500 0.500 0.245
Dy 0.000 0.000 0.885
Dy 0.000 0.000 0.629
Dy 0.000 0.000 0.115
Dy 0.000 0.000 0.371

- formation energy from the elements (eV per atom) = -0.700

=====

Entry 5:
VASP calculation (PBE) on an optimized crystal structure of LaV3Ru.

Lattice parameters (Å, degrees): 4.721 4.721 4.721 90.00 90.00 90.00
Fractional coordinates of all 5 atoms:
Ru 0.000 0.000 0.000
V 0.000 0.000 0.500
V 0.000 0.500 0.000
V 0.500 0.000 0.000
La 0.500 0.500 0.500

- formation energy from the elements (eV per atom) = 0.533

=====

Entry 6:
VASP calculation (PBE) on an optimized crystal structure of Na3Ce2NpSe6.

Lattice parameters (Å, degrees): 7.386 7.386 7.391 99.59 99.59 120.00
Fractional coordinates of all 12 atoms:
Se 0.922 0.592 0.765
Se 0.252 0.252 0.766
Se 0.078 0.408 0.235
Se 0.592 0.922 0.765
Se 0.748 0.748 0.234
Se 0.408 0.078 0.235
Ce 0.333 0.667 0.000
Ce 0.667 0.333 0.000
Np 0.000 0.000 0.000
Na 0.167 0.833 0.500
Na 0.500 0.500 0.500
Na 0.833 0.167 0.500

- formation energy (no corrections) (meV per atom) = -1480

=====

Entry 7:
VASP calculation (PBE) on an optimized crystal structure of Tm2Ni15Pt2.

Lattice parameters (Å, degrees): 6.312 6.312 6.312 83.16 83.16 83.16
Fractional coordinates of all 19 atoms:
Ni 0.000 0.500 0.000
Ni 0.000 0.702 0.298
Ni 0.350 0.840 0.350
Ni 0.840 0.350 0.350
Ni 0.298 0.702 0.000
Ni 0.000 0.298 0.702
Ni 0.298 0.000 0.702
Ni 0.000 0.000 0.500
Ni 0.350 0.350 0.840
Ni 0.702 0.298 0.000
Ni 0.650 0.650 0.160
Ni 0.500 0.000 0.000
Ni 0.702 0.000 0.298
Ni 0.650 0.160 0.650
Ni 0.160 0.650 0.650
Tm 0.344 0.344 0.344
Tm 0.656 0.656 0.656
Pt 0.109 0.109 0.109
Pt 0.891 0.891 0.891

- formation energy from the elements (eV per atom) = -0.254

=====

Entry 8:
VASP calculation (PBE) on an optimized crystal structure of Ir2AuCl.

Lattice parameters (Å, degrees): 4.022 2.864 5.659 90.06 90.00 90.00
Fractional coordinates of all 4 atoms:
Au 0.500 0.250 0.250
Cl 0.500 0.750 0.750
Ir 0.000 0.750 0.499
Ir 0.000 0.750 0.001

- formation energy (no corrections) (meV per atom) = 728

=====

It is found that the total energy values, taken in the order of the records, are -4.558; -4.686; -5.787; -5.837; -7.779; -5.619; -5.925; -4.983 eV/atom.